1.
This record from Alexandria via LeMat-Bulk describes a relaxed CdAgI crystal. The functional is PBE.

a b c (Å): 4.3086 5.2179 9.9052
angles (deg): 102.42 90.27 114.34
Space group P1 (No. 1)
One atom of each set of equivalent atoms:
Cd (0.0000, 0.0000, 0.0000) (multiplicity 1)
Cd (0.3306, 0.6632, 0.8067) (multiplicity 1)
Ag (0.0205, 0.0446, 0.7187) (multiplicity 1)
Ag (0.6812, 0.3643, 0.8943) (multiplicity 1)
I (0.3998, 0.8073, 0.5289) (multiplicity 1)
I (0.6356, 0.2668, 0.1934) (multiplicity 1)

Computed properties:
The value obtained for the energy above the most stable polymorph in this dataset is 8.5 meV per atom. For the volume, the calculation gives 32.84 Å³/atom. As for the formation energy (no corrections): -0.144 eV per atom.


2.
This record from Alexandria via LeMat-Bulk describes a relaxed Ba2InPd crystal. The functional is PBE.

a b c (Å): 4.3874 4.3874 33.1367
angles (deg): 90.00 90.00 120.00
Space group R-3m (No. 166, hexagonal axes)
One atom of each set of equivalent atoms:
Ba (0.0000, 0.0000, 0.1107) (multiplicity 6)
In (0.0000, 0.0000, 0.0000) (multiplicity 3)
Pd (0.0000, 0.0000, 0.5000) (multiplicity 3)

Computed properties:
As for the formation energy: -112 meV per atom. For the volume, the calculation gives 46.03 Å³/atom.


3.
This record from Alexandria via LeMat-Bulk describes a relaxed NdErCo2 crystal. The functional is PBE.

a b c (Å): 3.8805 5.6483 7.5855
angles (deg): 90.00 90.00 90.00
Space group Pmc2_1 (No. 26)
One atom of each set of equivalent atoms:
Nd (0.0000, 0.1316, 0.0000) (multiplicity 2)
Er (0.5000, 0.3706, 0.6433) (multiplicity 2)
Co (0.0000, 0.3638, 0.3542) (multiplicity 2)
Co (0.5000, 0.1705, 0.2990) (multiplicity 2)

Computed properties:
As for the formation energy: -139 meV per atom. The value obtained for the energy above the most stable polymorph in this dataset is 0.0 meV per atom. For the volume, the calculation gives 20.78 Å³/atom.


4.
This record from Alexandria via LeMat-Bulk describes a relaxed Rb4Ce3AlS8 crystal. The functional is PBE.

a b c (Å): 8.2590 8.2590 22.9337
angles (deg): 90.00 90.00 120.00
Space group R-3m (No. 166, hexagonal axes)
One atom of each set of equivalent atoms:
Rb (0.0000, 0.0000, 0.0000) (multiplicity 3)
Rb (0.0000, 0.5000, 0.0000) (multiplicity 9)
Ce (0.0000, 0.5000, 0.5000) (multiplicity 9)
Al (0.0000, 0.0000, 0.5000) (multiplicity 3)
S (0.0000, 0.0000, 0.2335) (multiplicity 6)
S (0.0264, 0.5132, 0.2278) (multiplicity 18)

Computed properties:
For the volume, the calculation gives 28.22 Å³/atom. As for the formation energy (no corrections): -1.539 eV per atom.


5.
This record from Alexandria via LeMat-Bulk describes a relaxed YCo2Sn3 crystal. The functional is PBE.

a b c (Å): 6.5443 6.5443 6.6476
angles (deg): 90.00 90.00 120.00
Space group P-3m1 (No. 164)
One atom of each set of equivalent atoms:
Y (0.3333, 0.6667, 0.1790) (multiplicity 2)
Co (0.0000, 0.0000, 0.5000) (multiplicity 1)
Co (0.0000, 0.5000, 0.5000) (multiplicity 3)
Sn (0.1684, 0.3367, 0.7712) (multiplicity 6)

Computed properties:
As for the formation energy: -67 meV per atom. For the volume, the calculation gives 20.55 Å³/atom.


6.
This record from Alexandria via LeMat-Bulk describes a relaxed GaGeSe2Br crystal. The functional is PBE.

a b c (Å): 4.9962 4.9962 5.5548
angles (deg): 90.00 90.00 90.00
Space group P4/mmm (No. 123)
One atom of each set of equivalent atoms:
Ga (0.0000, 0.0000, 0.0000) (multiplicity 1)
Ge (0.5000, 0.5000, 0.5000) (multiplicity 1)
Se (0.0000, 0.5000, 0.5000) (multiplicity 2)
Br (0.5000, 0.5000, 0.0000) (multiplicity 1)

Computed properties:
The value obtained for the energy above the most stable polymorph in this dataset is 0.0 meV per atom. For the volume, the calculation gives 27.73 Å³/atom. As for the formation energy (no corrections): 0.024 eV per atom.


7.
This record from Alexandria via LeMat-Bulk describes a relaxed BaLi3Mg crystal. The functional is PBE.

a b c (Å): 5.6705 5.6705 5.6705
angles (deg): 90.00 90.00 90.00
Space group Pm-3m (No. 221)
One atom of each set of equivalent atoms:
Ba (0.0000, 0.0000, 0.0000) (multiplicity 1)
Li (0.0000, 0.0000, 0.5000) (multiplicity 3)
Mg (0.5000, 0.5000, 0.5000) (multiplicity 1)

Computed properties:
As for the formation energy: 935 meV per atom. The value obtained for the energy above the most stable polymorph in this dataset is 927.5 meV per atom. For the volume, the calculation gives 36.47 Å³/atom.


8.
This record from Alexandria via LeMat-Bulk describes a relaxed CdOs2WC crystal. The functional is PBE.

a b c (Å): 4.7980 4.7980 4.8906
angles (deg): 90.00 90.00 90.00
Space group P4/mmm (No. 123)
One atom of each set of equivalent atoms:
Cd (0.0000, 0.0000, 0.0000) (multiplicity 1)
Os (0.0000, 0.5000, 0.0000) (multiplicity 2)
W (0.0000, 0.0000, 0.5000) (multiplicity 1)
C (0.5000, 0.5000, 0.5000) (multiplicity 1)

Computed properties:
As for the formation energy: 4472 meV per atom. For the volume, the calculation gives 22.52 Å³/atom.


9.
This record from Alexandria via LeMat-Bulk describes a relaxed MgReIr crystal. The functional is PBE.

a b c (Å): 3.7701 3.7701 7.0949
angles (deg): 90.00 90.00 90.00
Space group P4/nmm (No. 129, origin choice 2)
One atom of each set of equivalent atoms:
Mg (0.2500, 0.2500, 0.1543) (multiplicity 2)
Re (0.2500, 0.7500, 0.5000) (multiplicity 2)
Ir (0.2500, 0.2500, 0.7697) (multiplicity 2)

Computed properties:
As for the formation energy: 172 meV per atom. The value obtained for the energy above the most stable polymorph in this dataset is 345.1 meV per atom. For the volume, the calculation gives 16.81 Å³/atom.


10.
This record from Alexandria via LeMat-Bulk describes a relaxed Tb3Nd5S8 crystal. The functional is PBE.

a b c (Å): 8.0135 8.0135 19.8004
angles (deg): 90.00 90.00 120.00
Space group R-3m (No. 166, hexagonal axes)
One atom of each set of equivalent atoms:
Tb (0.0000, 0.5000, 0.0000) (multiplicity 9)
Nd (0.0000, 0.0000, 0.0000) (multiplicity 3)
Nd (0.0000, 0.0000, 0.5000) (multiplicity 3)
Nd (0.0000, 0.5000, 0.5000) (multiplicity 9)
S (0.0000, 0.0000, 0.2547) (multiplicity 6)
S (0.0064, 0.5032, 0.2533) (multiplicity 18)

Computed properties:
For the volume, the calculation gives 22.94 Å³/atom. As for the formation energy (no corrections): -2.015 eV per atom.


11.
This record from Alexandria via LeMat-Bulk describes a relaxed NaHgAs crystal. The functional is PBE.

a b c (Å): 3.0359 3.0359 16.5228
angles (deg): 90.00 90.00 90.00
Space group I4mm (No. 107)
One atom of each set of equivalent atoms:
Na (0.0000, 0.0000, 0.0000) (multiplicity 2)
Hg (0.0000, 0.0000, 0.1779) (multiplicity 2)
As (0.0000, 0.0000, 0.8290) (multiplicity 2)

Computed properties:
As for the formation energy: 164 meV per atom. For the volume, the calculation gives 25.38 Å³/atom.


12.
This record from Alexandria via LeMat-Bulk describes a relaxed Fe2CoAu crystal. The functional is PBE.

a b c (Å): 6.5529 6.5529 4.9712
angles (deg): 90.00 90.00 90.00
Space group I-42d (No. 122)
One atom of each set of equivalent atoms:
Fe (0.1998, 0.2500, 0.1250) (multiplicity 8)
Co (0.0000, 0.0000, 0.0000) (multiplicity 4)
Au (0.0000, 0.0000, 0.5000) (multiplicity 4)

Computed properties:
As for the formation energy: 819 meV per atom. The value obtained for the energy above the most stable polymorph in this dataset is 733.3 meV per atom. For the volume, the calculation gives 13.34 Å³/atom.


Calculated D(E_F), 1.549; 11.709; 8.813; 50.909; 11.840; 1.677; 3.970; 9.299; 6.801; 24.986; 1.517; 34.444 states/eV per cell (same order as the records).